Computed, not measured: a relaxed structure of VOF at the PBE+U level of DFT.

Calculated values
- total moment (μB/f.u.) = 2.00
- DFT total energy (eV/atom) = -7.1437

Cell: 6.0118 6.0115 6.0116 Å, 100.20 100.21 100.20°
Last column: nearest neighbours and their distance in Å.
Fractional coordinates of all 18 atoms:
O  0.5749  0.1771  0.4172  4 V 2.01-2.12
O  0.8230  0.5828  0.4251  4 V 2.01-2.12
V  0.3282  0.1463  0.6020  4 O 2.01-2.12, 2 F 2.04
V  0.1463  0.6020  0.3282  4 O 2.01-2.12, 2 F 2.04
O  0.4172  0.5749  0.1771  4 V 2.01-2.12
F  0.0912  0.9274  0.3310  2 V 2.04
O  0.5828  0.4252  0.8230  4 V 2.01-2.12
O  0.4251  0.8229  0.5828  4 V 2.01-2.12
F  0.3309  0.0912  0.9274  2 V 2.04
F  0.0726  0.6690  0.9089  2 V 2.04
O  0.1770  0.4172  0.5749  4 V 2.01-2.12
F  0.6690  0.9089  0.0726  2 V 2.04
V  0.6718  0.8537  0.3980  4 O 2.01-2.12, 2 F 2.04
V  0.3980  0.6718  0.8537  4 O 2.01-2.12, 2 F 2.04
F  0.9088  0.0726  0.6690  2 V 2.04
V  0.6020  0.3282  0.1463  4 O 2.01-2.12, 2 F 2.04
V  0.8537  0.3980  0.6718  4 O 2.01-2.12, 2 F 2.04
F  0.9274  0.3309  0.0911  2 V 2.04